This record from the Open Quantum Materials Database describes an optimized crystal structure of ZrBeCuGe. The functional is PBE.

Structure (POSCAR):
```
ZrBeCuGe
1.0
0.000 3.103 3.103
3.103 0.000 3.103
3.103 3.103 0.000
Zr Be Cu Ge
1 1 1 1
Cartesian
0.000 0.000 0.000
4.654 4.654 4.654
3.103 3.103 3.103
1.551 1.551 1.551
```

Output
Space group: F-43m
Final energy, eV per atom: -5.111